Density functional theory data (GGA-PBE) for Mn2GaSi after structural relaxation.

Geometry as CIF:
```
data_Mn2GaSi
_chemical_formula_sum 'Mn2 Ga1 Si1'
_space_group_name_H-M_alt 'P 4/m m m'
_space_group_IT_number 123
_space_group_name_Hall '-P 4 2'
_cell_length_a 2.835
_cell_length_b 2.835
_cell_length_c 5.962
_cell_angle_alpha 90.00
_cell_angle_beta 90.00
_cell_angle_gamma 90.00
loop_
_atom_site_label
_atom_site_fract_x
_atom_site_fract_y
_atom_site_fract_z
_atom_site_occupancy
Mn1 0.000 0.000 0.228 1
Ga1 0.500 0.500 0.500 1
Si1 0.500 0.500 0.000 1
```

Results
For the energy relative to the elements, uncorrected, the calculation gives -0.16 eV per atom. The value obtained for the total magnetization is 2.6 Bohr magnetons per cell. The calculated total energy is -6.86 eV/atom.


Density functional theory data (GGA-PBE) for Dy2Ni4P3Ir after structural relaxation.

Geometry as CIF:
```
data_Dy2Ni4P3Ir
_chemical_formula_sum 'Dy2 Ni4 P3 Ir1'
_space_group_name_H-M_alt 'P -4 m 2'
_space_group_IT_number 115
_space_group_name_Hall 'P -4 -2'
_cell_length_a 3.845
_cell_length_b 3.845
_cell_length_c 9.909
_cell_angle_alpha 90.00
_cell_angle_beta 90.00
_cell_angle_gamma 90.00
loop_
_atom_site_label
_atom_site_fract_x
_atom_site_fract_y
_atom_site_fract_z
_atom_site_occupancy
Dy1 0.000 0.500 0.245 1
Ni1 0.000 0.000 0.000 1
Ni2 0.000 0.500 0.653 1
Ni3 0.500 0.500 0.000 1
P1 0.000 0.500 0.874 1
P2 0.500 0.500 0.500 1
Ir1 0.000 0.000 0.500 1
```

Results
The value obtained for the total magnetization is 0.0 Bohr magnetons per cell. As for the energy of formation: -813 meV/atom. The calculated total energy is -6.55 eV/atom.


Density functional theory data (GGA-PBE) for Ac5SbS4 after structural relaxation.

Geometry as CIF:
```
data_Ac5SbS4
_chemical_formula_sum 'Ac10 Sb2 S8'
_space_group_name_H-M_alt 'I m m m'
_space_group_IT_number 71
_space_group_name_Hall '-I 2 2'
_cell_length_a 4.411
_cell_length_b 6.277
_cell_length_c 22.008
_cell_angle_alpha 90.00
_cell_angle_beta 90.00
_cell_angle_gamma 90.00
loop_
_atom_site_label
_atom_site_fract_x
_atom_site_fract_y
_atom_site_fract_z
_atom_site_occupancy
Ac1 0.000 0.000 0.000 1
Ac2 0.000 0.000 0.199 1
Ac3 0.000 0.000 0.391 1
Sb1 0.000 0.500 0.000 1
S1 0.000 0.500 0.205 1
S2 0.000 0.500 0.399 1
```

Results
For the energy relative to the elements, uncorrected, the calculation gives -1.81 eV per atom. The value obtained for the total magnetization is 0.0 Bohr magnetons per cell. The calculated total energy is -5.93 eV/atom.


Look up the total magnetization of the first one. 2.6 Bohr magnetons per cell